First-principles (PBE) data for an optimized crystal structure of Sc2HgAs, as listed in the Alexandria database.

CIF file:
```
data_Sc2HgAs
_chemical_formula_sum 'Sc6 Hg3 As3'
_cell_length_a 3.7415
_cell_length_b 3.7415
_cell_length_c 22.3055
_cell_angle_alpha 90.00
_cell_angle_beta 90.00
_cell_angle_gamma 120.00
_symmetry_space_group_name_H-M 'R -3 m'
_symmetry_Int_Tables_number 166
_symmetry_space_group_name_Hall '-R 3 2"'
loop_
_atom_site_label
_atom_site_fract_x
_atom_site_fract_y
_atom_site_fract_z
Sc1 0.0000 0.0000 0.2371
Hg1 0.0000 0.0000 0.0000
As1 0.0000 0.0000 0.5000
```

## Properties
The value obtained for the formation energy is -0.818 eV per atom. For the polymorph energy (0 for the lowest one), the calculation gives 0.0 meV/atom.

***

First-principles (PBE) data for an optimized crystal structure of Sc2HgAs, as listed in the Alexandria database.

CIF file:
```
data_Sc2HgAs
_chemical_formula_sum 'Sc8 Hg4 As4'
_cell_length_a 7.415
_cell_length_b 7.415
_cell_length_c 6.733
_cell_angle_alpha 90.00
_cell_angle_beta 90.00
_cell_angle_gamma 90.00
_symmetry_space_group_name_H-M 'I -4 2 d'
_symmetry_Int_Tables_number 122
_symmetry_space_group_name_Hall 'I -4 2bw'
loop_
_atom_site_label
_atom_site_fract_x
_atom_site_fract_y
_atom_site_fract_z
Sc1 0.228 0.250 0.125
Hg1 0.000 0.000 0.500
As1 0.000 0.000 0.000
```

## Properties
The value obtained for the formation energy is -0.523 eV per atom. For the polymorph energy (0 for the lowest one), the calculation gives 294.8 meV/atom.

***

First-principles (PBE) data for an optimized crystal structure of Sc2HgAs, as listed in the Alexandria database.

CIF file:
```
data_Sc2HgAs
_chemical_formula_sum 'Sc6 Hg3 As3'
_cell_length_a 3.3271
_cell_length_b 3.3271
_cell_length_c 29.8749
_cell_angle_alpha 90.00
_cell_angle_beta 90.00
_cell_angle_gamma 120.00
_symmetry_space_group_name_H-M 'R -3 m'
_symmetry_Int_Tables_number 166
_symmetry_space_group_name_Hall '-R 3 2"'
loop_
_atom_site_label
_atom_site_fract_x
_atom_site_fract_y
_atom_site_fract_z
Sc1 0.0000 0.0000 0.0882
Hg1 0.0000 0.0000 0.5000
As1 0.0000 0.0000 0.0000
```

## Properties
The value obtained for the formation energy is -0.086 eV per atom. For the polymorph energy (0 for the lowest one), the calculation gives 732.0 meV/atom.

***

First-principles (PBE) data for an optimized crystal structure of Sc2HgAs2, as listed in the Alexandria database.

CIF file:
```
data_Sc2HgAs2
_chemical_formula_sum 'Sc4 Hg2 As4'
_cell_length_a 7.563
_cell_length_b 7.563
_cell_length_c 3.567
_cell_angle_alpha 90.00
_cell_angle_beta 90.00
_cell_angle_gamma 90.00
_symmetry_space_group_name_H-M 'P 4/m b m'
_symmetry_Int_Tables_number 127
_symmetry_space_group_name_Hall '-P 4 2ab'
loop_
_atom_site_label
_atom_site_fract_x
_atom_site_fract_y
_atom_site_fract_z
Sc1 0.155 0.345 0.000
Hg1 0.000 0.000 0.500
As1 0.148 0.648 0.500
```

## Properties
The value obtained for the formation energy is -0.788 eV per atom.

***

First-principles (PBE) data for an optimized crystal structure of ScHgAs2, as listed in the Alexandria database.

CIF file:
```
data_ScHgAs2
_chemical_formula_sum 'Sc2 Hg2 As4'
_cell_length_a 10.612
_cell_length_b 3.786
_cell_length_c 4.213
_cell_angle_alpha 90.00
_cell_angle_beta 99.84
_cell_angle_gamma 90.00
_symmetry_space_group_name_H-M 'C 1 m 1'
_symmetry_Int_Tables_number 8
loop_
_symmetry_equiv_pos_as_xyz
'x,y,z'
'x,-y,z'
'x+1/2,y+1/2,z'
'x+1/2,-y+1/2,z'
loop_
_atom_site_label
_atom_site_fract_x
_atom_site_fract_y
_atom_site_fract_z
Sc1 0.000 0.000 0.000
Hg1 0.226 0.000 0.595
As1 0.224 0.500 0.076
As2 0.473 0.000 0.490
```

## Properties
The value obtained for the formation energy is -0.410 eV per atom. For the polymorph energy (0 for the lowest one), the calculation gives 93.2 meV/atom.

***

First-principles (PBE) data for an optimized crystal structure of ScHg2As, as listed in the Alexandria database.

CIF file:
```
data_ScHg2As
_chemical_formula_sum 'Sc3 Hg6 As3'
_cell_length_a 4.0834
_cell_length_b 4.0834
_cell_length_c 20.8254
_cell_angle_alpha 90.00
_cell_angle_beta 90.00
_cell_angle_gamma 120.00
_symmetry_space_group_name_H-M 'R 3 m'
_symmetry_Int_Tables_number 160
_symmetry_space_group_name_Hall 'R 3 -2"'
loop_
_atom_site_label
_atom_site_fract_x
_atom_site_fract_y
_atom_site_fract_z
Sc1 0.0000 0.0000 0.0000
Hg1 0.0000 0.0000 0.2377
Hg2 0.0000 0.0000 0.4784
As1 0.0000 0.0000 0.7246
```

## Properties
The value obtained for the formation energy is -0.319 eV per atom.

***

First-principles (PBE) data for an optimized crystal structure of ScHgAs2, as listed in the Alexandria database.

CIF file:
```
data_ScHgAs2
_chemical_formula_sum 'Sc2 Hg2 As4'
_cell_length_a 4.292
_cell_length_b 4.307
_cell_length_c 10.341
_cell_angle_alpha 90.00
_cell_angle_beta 90.00
_cell_angle_gamma 90.00
_symmetry_space_group_name_H-M 'C m m m'
_symmetry_Int_Tables_number 65
_symmetry_space_group_name_Hall '-C 2 2'
loop_
_atom_site_label
_atom_site_fract_x
_atom_site_fract_y
_atom_site_fract_z
Sc1 0.000 0.000 0.000
Hg1 0.000 0.000 0.500
As1 0.000 0.500 0.188
```

## Properties
The value obtained for the formation energy is -0.339 eV per atom. For the polymorph energy (0 for the lowest one), the calculation gives 164.2 meV/atom.

***

First-principles (PBE) data for an optimized crystal structure of ScHg2As, as listed in the Alexandria database.

CIF file:
```
data_ScHg2As
_chemical_formula_sum 'Sc1 Hg2 As1'
_cell_length_a 4.110
_cell_length_b 3.966
_cell_length_c 5.775
_cell_angle_alpha 90.00
_cell_angle_beta 104.67
_cell_angle_gamma 90.00
_symmetry_space_group_name_H-M 'P 1 2/m 1'
_symmetry_Int_Tables_number 10
loop_
_symmetry_equiv_pos_as_xyz
'x,y,z'
'-x,-y,-z'
'-x,y,-z'
'x,-y,z'
loop_
_atom_site_label
_atom_site_fract_x
_atom_site_fract_y
_atom_site_fract_z
Sc1 0.000 0.000 0.000
Hg1 0.000 0.500 0.500
Hg2 0.500 0.000 0.500
As1 0.500 0.500 0.000
```

## Properties
The value obtained for the formation energy is -0.359 eV per atom.